[1]
! ZnWCl, optimized geometry, DFT GGA-PBEsol; values from VASP
&SYSTEM
  ibrav = 0, nat = 3, ntyp = 3
/
ATOMIC_SPECIES
Zn 65.41 Zn.upf
W 183.84 W.upf
Cl 35.45 Cl.upf
CELL_PARAMETERS angstrom
-1.246 1.895 -1.550
-3.086 0.470 3.054
3.598 2.472 0.132
ATOMIC_POSITIONS angstrom
Zn 0.747 2.753 0.331
W -0.858 1.137 2.080
Cl 0.000 0.000 0.000
! * calculated total energy: -5.182 eV/atom
! * space-group type: P-6m2 (187)
! * E above lowest polymorph: 0.0 meV/atom

---

[2]
! Cs2NaGdCl6, optimized geometry, DFT GGA-PBEsol; values from VASP
&SYSTEM
  ibrav = 0, nat = 10, ntyp = 4
/
ATOMIC_SPECIES
Cs 132.91 Cs.upf
Na 22.99 Na.upf
Gd 157.25 Gd.upf
Cl 35.45 Cl.upf
CELL_PARAMETERS angstrom
7.568 0.000 0.000
3.784 6.554 0.000
3.784 2.185 6.179
ATOMIC_POSITIONS angstrom
Cs 11.352 6.554 4.634
Cs 3.784 2.185 1.545
Na 7.568 4.369 3.090
Gd 0.000 0.000 0.000
Cl 7.568 2.149 1.520
Cl 9.491 5.480 1.520
Cl 7.568 6.590 4.660
Cl 9.491 3.259 4.660
Cl 5.645 5.480 1.520
Cl 5.645 3.259 4.660
! * calculated total energy: -5.104 eV/atom
! * space-group type: Fm-3m (225)

---

[3]
! Dy5Ge2Sb2, optimized geometry, DFT GGA-PBEsol; values from VASP
&SYSTEM
  ibrav = 0, nat = 18, ntyp = 3
/
ATOMIC_SPECIES
Dy 162.50 Dy.upf
Ge 72.64 Ge.upf
Sb 121.76 Sb.upf
CELL_PARAMETERS angstrom
7.790 0.000 0.000
-3.895 7.463 0.000
0.000 0.000 7.812
ATOMIC_POSITIONS angstrom
Dy 6.496 1.907 5.197
Dy -2.601 5.556 2.615
Dy 1.294 5.556 1.291
Dy -1.294 5.556 6.521
Dy 2.601 1.907 6.521
Dy 5.189 1.907 1.291
Dy 1.294 1.907 2.615
Dy 2.601 5.556 5.197
Dy 0.000 0.000 0.000
Dy 3.895 0.000 3.906
Ge 4.957 0.000 6.752
Ge 2.833 0.000 1.060
Ge 6.728 0.000 2.846
Ge 1.062 0.000 4.966
Sb 0.000 3.066 0.000
Sb 3.895 4.397 0.000
Sb 0.000 4.397 3.906
Sb 3.895 3.066 3.906
! * calculated total energy: -5.891 eV/atom
! * space-group type: Cmce (64)

---

Q: Among the records above, which one has the highest calculated total energy?
A: Cs2NaGdCl6

---

Q: The highest calculated total energy belongs to which entry?
A: Cs2NaGdCl6

---

What did the third record say?
! Dy5Ge2Sb2, optimized geometry, DFT GGA-PBEsol; values from VASP
&SYSTEM
  ibrav = 0, nat = 18, ntyp = 3
/
ATOMIC_SPECIES
Dy 162.50 Dy.upf
Ge 72.64 Ge.upf
Sb 121.76 Sb.upf
CELL_PARAMETERS angstrom
7.790 0.000 0.000
-3.895 7.463 0.000
0.000 0.000 7.812
ATOMIC_POSITIONS angstrom
Dy 6.496 1.907 5.197
Dy -2.601 5.556 2.615
Dy 1.294 5.556 1.291
Dy -1.294 5.556 6.521
Dy 2.601 1.907 6.521
Dy 5.189 1.907 1.291
Dy 1.294 1.907 2.615
Dy 2.601 5.556 5.197
Dy 0.000 0.000 0.000
Dy 3.895 0.000 3.906
Ge 4.957 0.000 6.752
Ge 2.833 0.000 1.060
Ge 6.728 0.000 2.846
Ge 1.062 0.000 4.966
Sb 0.000 3.066 0.000
Sb 3.895 4.397 0.000
Sb 0.000 4.397 3.906
Sb 3.895 3.066 3.906
! * calculated total energy: -5.891 eV/atom
! * space-group type: Cmce (64)